(1)
## MoSBr2 (GGA-PBE)

Data for an optimized crystal structure of MoSBr2.

Structure (CIF):
```
data_MoSBr2
_symmetry_space_group_name_H-M 'I -4 2 d'
_symmetry_Int_Tables_number 122
_symmetry_space_group_name_Hall 'I -4 2bw'
_cell_length_a 9.616
_cell_length_b 9.616
_cell_length_c 4.550
_cell_angle_alpha 90.00
_cell_angle_beta 90.00
_cell_angle_gamma 90.00
loop_
_atom_site_label
_atom_site_type_symbol
_atom_site_fract_x
_atom_site_fract_y
_atom_site_fract_z
Mo1 Mo 0.000 0.000 0.000
S1 S 0.000 0.000 0.500
Br1 Br 0.102 0.750 0.125
```

Raw total energy = -4.74 eV per atom
Distance to the lowest polymorph of the same formula = 0.0 meV/atom

(2)
## MoSe2SBr (GGA-PBE)

Data for an optimized crystal structure of MoSe2SBr.

Structure (CIF):
```
data_MoSe2SBr
_symmetry_space_group_name_H-M 'P 4/m m m'
_symmetry_Int_Tables_number 123
_symmetry_space_group_name_Hall '-P 4 2'
_cell_length_a 4.898
_cell_length_b 4.898
_cell_length_c 5.006
_cell_angle_alpha 90.00
_cell_angle_beta 90.00
_cell_angle_gamma 90.00
loop_
_atom_site_label
_atom_site_type_symbol
_atom_site_fract_x
_atom_site_fract_y
_atom_site_fract_z
Mo1 Mo 0.000 0.000 0.000
Se1 Se 0.000 0.500 0.000
S1 S 0.500 0.500 0.500
Br1 Br 0.000 0.000 0.500
```

Raw total energy = -4.24 eV per atom
Distance to the lowest polymorph of the same formula = 0.0 meV/atom

(3)
## MoSeSBr2 (GGA-PBE)

Data for an optimized crystal structure of MoSeSBr2.

Structure (CIF):
```
data_MoSeSBr2
_symmetry_space_group_name_H-M 'P 4/m m m'
_symmetry_Int_Tables_number 123
_symmetry_space_group_name_Hall '-P 4 2'
_cell_length_a 5.027
_cell_length_b 5.027
_cell_length_c 5.096
_cell_angle_alpha 90.00
_cell_angle_beta 90.00
_cell_angle_gamma 90.00
loop_
_atom_site_label
_atom_site_type_symbol
_atom_site_fract_x
_atom_site_fract_y
_atom_site_fract_z
Mo1 Mo 0.000 0.000 0.000
Se1 Se 0.500 0.500 0.000
S1 S 0.500 0.500 0.500
Br1 Br 0.000 0.500 0.500
```

Raw total energy = -3.38 eV per atom
Distance to the lowest polymorph of the same formula = 491.0 meV/atom

(4)
## MoSe2SBr (GGA-PBE)

Data for an optimized crystal structure of MoSe2SBr.

Structure (CIF):
```
data_MoSe2SBr
_symmetry_space_group_name_H-M 'P 4/m m m'
_symmetry_Int_Tables_number 123
_symmetry_space_group_name_Hall '-P 4 2'
_cell_length_a 4.956
_cell_length_b 4.956
_cell_length_c 4.849
_cell_angle_alpha 90.00
_cell_angle_beta 90.00
_cell_angle_gamma 90.00
loop_
_atom_site_label
_atom_site_type_symbol
_atom_site_fract_x
_atom_site_fract_y
_atom_site_fract_z
Mo1 Mo 0.000 0.000 0.000
Se1 Se 0.000 0.500 0.500
S1 S 0.500 0.500 0.500
Br1 Br 0.500 0.500 0.000
```

Raw total energy = -3.74 eV per atom
Distance to the lowest polymorph of the same formula = 495.4 meV/atom

- Which of these has the highest distance to the lowest polymorph of the same formula?
  number 4